[1]
Material: La11Y4Er9
Method: DFT, PBE-GGA
State: optimized geometry

Geometry as CIF:
```
data_La11Y4Er9
_chemical_formula_sum 'La22 Y8 Er18'
_cell_length_a 17.137
_cell_length_b 25.988
_cell_length_c 3.697
_cell_angle_alpha 90.00
_cell_angle_beta 90.00
_cell_angle_gamma 90.00
_symmetry_space_group_name_H-M 'C m m m'
_symmetry_Int_Tables_number 65
_symmetry_space_group_name_Hall '-C 2 2'
loop_
_atom_site_label
_atom_site_type_symbol
_atom_site_fract_x
_atom_site_fract_y
_atom_site_fract_z
La1 La 0.000 0.000 0.000
La2 La 0.000 0.161 0.000
La3 La 0.000 0.368 0.000
La4 La 0.210 0.500 0.000
La5 La 0.221 0.181 0.000
Y1 Y 0.158 0.398 0.500
Er1 Er 0.000 0.500 0.500
Er2 Er 0.101 0.268 0.500
Er3 Er 0.140 0.073 0.500
```

Calculated values
As for the total energy: -4.97 eV per atom. The value obtained for the calculated volume is 1646 Å³ per cell. The calculation puts the magnetization at 0.00 Bohr magnetons per cell. The crystal system is orthorhombic. The value obtained for the calculated formation energy is 7.4 kJ per mole of atoms.



[2]
Material: TbDy3Ho2Bi6
Method: DFT, PBE-GGA
State: optimized geometry

Geometry as CIF:
```
data_TbDy3Ho2Bi6
_chemical_formula_sum 'Tb2 Dy6 Ho4 Bi12'
_cell_length_a 19.480
_cell_length_b 4.469
_cell_length_c 8.941
_cell_angle_alpha 90.00
_cell_angle_beta 103.20
_cell_angle_gamma 90.00
_symmetry_space_group_name_H-M 'C 1 2/m 1'
_symmetry_Int_Tables_number 12
loop_
_symmetry_equiv_pos_as_xyz
'x,y,z'
'-x,-y,-z'
'-x,y,-z'
'x,-y,z'
'x+1/2,y+1/2,z'
'-x+1/2,-y+1/2,-z'
'-x+1/2,y+1/2,-z'
'x+1/2,-y+1/2,z'
loop_
_atom_site_label
_atom_site_type_symbol
_atom_site_fract_x
_atom_site_fract_y
_atom_site_fract_z
Tb1 Tb 0.000 0.000 0.000
Dy1 Dy 0.000 0.000 0.500
Dy2 Dy 0.166 0.500 0.833
Ho1 Ho 0.167 0.500 0.333
Bi1 Bi 0.000 0.500 0.251
Bi2 Bi 0.167 0.000 0.084
Bi3 Bi 0.167 0.000 0.582
```

Calculated values
As for the total energy: -5.09 eV per atom. The value obtained for the calculated volume is 758 Å³ per cell. The calculation puts the magnetization at 0.00 Bohr magnetons per cell. The crystal system is monoclinic. The value obtained for the calculated formation energy is -82.5 kJ per mole of atoms.



[3]
Material: SiSb
Method: DFT, PBE-GGA
State: optimized geometry

Geometry as CIF:
```
data_SiSb
_chemical_formula_sum 'Si6 Sb6'
_cell_length_a 13.365
_cell_length_b 3.857
_cell_length_c 6.320
_cell_angle_alpha 90.00
_cell_angle_beta 118.10
_cell_angle_gamma 90.00
_symmetry_space_group_name_H-M 'C 1 m 1'
_symmetry_Int_Tables_number 8
loop_
_symmetry_equiv_pos_as_xyz
'x,y,z'
'x,-y,z'
'x+1/2,y+1/2,z'
'x+1/2,-y+1/2,z'
loop_
_atom_site_label
_atom_site_type_symbol
_atom_site_fract_x
_atom_site_fract_y
_atom_site_fract_z
Si1 Si 0.000 0.000 0.000
Si2 Si 0.025 0.000 0.650
Si3 Si 0.148 0.500 0.685
Sb1 Sb 0.151 0.500 0.267
Sb2 Sb 0.334 0.000 0.916
Sb3 Sb 0.360 0.000 0.397
```

Calculated values
As for the total energy: -4.55 eV per atom. The value obtained for the calculated volume is 287 Å³ per cell. The calculation puts the magnetization at 0.00 Bohr magnetons per cell. The crystal system is monoclinic. As for the formation energy from raw total energies: 0.22 eV/atom.



[4]
Material: Tm3TlZn
Method: DFT, PBE-GGA
State: optimized geometry

Geometry as CIF:
```
data_Tm3TlZn
_chemical_formula_sum 'Tm6 Tl2 Zn2'
_cell_length_a 7.9206
_cell_length_b 7.9206
_cell_length_c 4.9938
_cell_angle_alpha 90.00
_cell_angle_beta 90.00
_cell_angle_gamma 120.00
_symmetry_space_group_name_H-M 'P 63/m m c'
_symmetry_Int_Tables_number 194
_symmetry_space_group_name_Hall '-P 6c 2c'
loop_
_atom_site_label
_atom_site_type_symbol
_atom_site_fract_x
_atom_site_fract_y
_atom_site_fract_z
Tm1 Tm 0.1897 0.3794 0.2500
Tl1 Tl 0.3333 0.6667 0.7500
Zn1 Zn 0.0000 0.0000 0.0000
```

Calculated values
As for the total energy: -3.52 eV per atom. The value obtained for the calculated volume is 271 Å³ per cell. The calculation puts the magnetization at 0.00 Bohr magnetons per cell. The crystal system is hexagonal. The value obtained for the calculated formation energy is -10.5 kJ per mole of atoms.



[5]
Material: Rb2GeIF6
Method: DFT, PBE-GGA
State: optimized geometry

Geometry as CIF:
```
data_Rb2GeIF6
_chemical_formula_sum 'Rb4 Ge2 I2 F12'
_cell_length_a 7.082
_cell_length_b 7.082
_cell_length_c 9.134
_cell_angle_alpha 90.00
_cell_angle_beta 90.00
_cell_angle_gamma 90.00
_symmetry_space_group_name_H-M 'I 4/m m m'
_symmetry_Int_Tables_number 139
_symmetry_space_group_name_Hall '-I 4 2'
loop_
_atom_site_label
_atom_site_type_symbol
_atom_site_fract_x
_atom_site_fract_y
_atom_site_fract_z
Rb1 Rb 0.000 0.500 0.250
Ge1 Ge 0.000 0.000 0.000
I1 I 0.000 0.000 0.500
F1 F 0.000 0.000 0.203
F2 F 0.183 0.183 0.000
```

Calculated values
As for the total energy: -4.21 eV per atom. The value obtained for the calculated volume is 458 Å³ per cell. The calculation puts the magnetization at 2.00 Bohr magnetons per cell. The crystal system is tetragonal. As for the formation energy from raw total energies: -2.28 eV/atom.



[6]
Material: YMg3
Method: DFT, PBE-GGA
State: optimized geometry

Geometry as CIF:
```
data_YMg3
_chemical_formula_sum 'Y4 Mg12'
_cell_length_a 6.6306
_cell_length_b 6.6306
_cell_length_c 10.6534
_cell_angle_alpha 90.00
_cell_angle_beta 90.00
_cell_angle_gamma 120.00
_symmetry_space_group_name_H-M 'P 63/m m c'
_symmetry_Int_Tables_number 194
_symmetry_space_group_name_Hall '-P 6c 2c'
loop_
_atom_site_label
_atom_site_type_symbol
_atom_site_fract_x
_atom_site_fract_y
_atom_site_fract_z
Y1 Y 0.0000 0.0000 0.0000
Y2 Y 0.3333 0.6667 0.2500
Mg1 Mg 0.0000 0.5000 0.0000
Mg2 Mg 0.1707 0.3414 0.7500
```

Calculated values
As for the total energy: -2.89 eV per atom. The value obtained for the calculated volume is 406 Å³ per cell. The calculation puts the magnetization at 0.00 Bohr magnetons per cell. The crystal system is hexagonal. The value obtained for the calculated formation energy is -7.2 kJ per mole of atoms.



[7]
Material: SrSnPS6
Method: DFT, PBE-GGA
State: optimized geometry

Geometry as CIF:
```
data_SrSnPS6
_chemical_formula_sum 'Sr1 Sn1 P1 S6'
_cell_length_a 6.2389
_cell_length_b 6.2389
_cell_length_c 6.5434
_cell_angle_alpha 90.00
_cell_angle_beta 90.00
_cell_angle_gamma 120.00
_symmetry_space_group_name_H-M 'P 3 1 2'
_symmetry_Int_Tables_number 149
loop_
_symmetry_equiv_pos_as_xyz
'x,y,z'
'-y,x-y,z'
'-x+y,-x,z'
'-y,-x,-z'
'-x+y,y,-z'
'x,x-y,-z'
loop_
_atom_site_label
_atom_site_type_symbol
_atom_site_fract_x
_atom_site_fract_y
_atom_site_fract_z
Sr1 Sr 0.0000 0.0000 0.0000
Sn1 Sn 0.3333 0.6667 0.5000
P1 P 0.6667 0.3333 0.5000
S1 S 0.3956 0.0384 0.7121
```

Calculated values
As for the total energy: -4.39 eV per atom. The value obtained for the calculated volume is 221 Å³ per cell. The calculation puts the magnetization at 0.70 Bohr magnetons per cell. The crystal system is trigonal. As for the formation energy from raw total energies: -0.41 eV/atom.



[8]
Material: ZnP
Method: DFT, PBE-GGA
State: optimized geometry

Geometry as CIF:
```
data_ZnP
_chemical_formula_sum 'Zn2 P2'
_cell_length_a 3.136
_cell_length_b 3.136
_cell_length_c 6.878
_cell_angle_alpha 90.00
_cell_angle_beta 90.00
_cell_angle_gamma 90.00
_symmetry_space_group_name_H-M 'P 4/n m m'
_symmetry_Int_Tables_number 129
loop_
_symmetry_equiv_pos_as_xyz
'x,y,z'
'-x,-y,-z'
'-y+1/2,x,z'
'y+1/2,-x,-z'
'-x+1/2,-y+1/2,z'
'x+1/2,y+1/2,-z'
'y,-x+1/2,z'
'-y,x+1/2,-z'
'x+1/2,-y,-z'
'-x+1/2,y,z'
'-y,-x,-z'
'y,x,z'
'-x,y+1/2,-z'
'x,-y+1/2,z'
'y+1/2,x+1/2,-z'
'-y+1/2,-x+1/2,z'
loop_
_atom_site_label
_atom_site_type_symbol
_atom_site_fract_x
_atom_site_fract_y
_atom_site_fract_z
Zn1 Zn 0.250 0.250 0.095
P1 P 0.250 0.250 0.443
```

Calculated values
As for the total energy: -3.29 eV per atom. The value obtained for the calculated volume is 68 Å³ per cell. The calculation puts the magnetization at 0.00 Bohr magnetons per cell. The crystal system is tetragonal. The value obtained for the calculated formation energy is 5.3 kJ per mole of atoms.



[9]
Material: Ba2Cd4In3Ga
Method: DFT, PBE-GGA
State: optimized geometry

Geometry as CIF:
```
data_Ba2Cd4In3Ga
_chemical_formula_sum 'Ba2 Cd4 In3 Ga1'
_cell_length_a 4.909
_cell_length_b 4.909
_cell_length_c 12.093
_cell_angle_alpha 90.00
_cell_angle_beta 90.00
_cell_angle_gamma 90.00
_symmetry_space_group_name_H-M 'P -4 m 2'
_symmetry_Int_Tables_number 115
loop_
_symmetry_equiv_pos_as_xyz
'x,y,z'
'y,-x,-z'
'-x,-y,z'
'-y,x,-z'
'-x,y,z'
'-y,-x,-z'
'x,-y,z'
'y,x,-z'
loop_
_atom_site_label
_atom_site_type_symbol
_atom_site_fract_x
_atom_site_fract_y
_atom_site_fract_z
Ba1 Ba 0.000 0.500 0.247
Cd1 Cd 0.000 0.000 0.500
Cd2 Cd 0.000 0.500 0.872
Cd3 Cd 0.500 0.500 0.500
In1 In 0.000 0.000 0.000
In2 In 0.000 0.500 0.635
Ga1 Ga 0.500 0.500 0.000
```

Calculated values
As for the total energy: -2.19 eV per atom. The value obtained for the calculated volume is 291 Å³ per cell. The calculation puts the magnetization at 0.00 Bohr magnetons per cell. The crystal system is tetragonal. The value obtained for the calculated formation energy is -30.6 kJ per mole of atoms.



[10]
Material: AsPt2Rh
Method: DFT, PBE-GGA
State: optimized geometry

Geometry as CIF:
```
data_AsPt2Rh
_chemical_formula_sum 'As2 Pt4 Rh2'
_cell_length_a 3.898
_cell_length_b 3.898
_cell_length_c 8.261
_cell_angle_alpha 90.00
_cell_angle_beta 90.00
_cell_angle_gamma 90.00
_symmetry_space_group_name_H-M 'I 4/m m m'
_symmetry_Int_Tables_number 139
_symmetry_space_group_name_Hall '-I 4 2'
loop_
_atom_site_label
_atom_site_type_symbol
_atom_site_fract_x
_atom_site_fract_y
_atom_site_fract_z
As1 As 0.000 0.000 0.000
Pt1 Pt 0.000 0.500 0.250
Rh1 Rh 0.000 0.000 0.500
```

Calculated values
As for the total energy: -5.99 eV per atom. The value obtained for the calculated volume is 126 Å³ per cell. The calculation puts the magnetization at 1.48 Bohr magnetons per cell. The crystal system is tetragonal. The value obtained for the calculated formation energy is 2.9 kJ per mole of atoms.



[11]
Material: LaZr2Br
Method: DFT, PBE-GGA
State: optimized geometry

Geometry as CIF:
```
data_LaZr2Br
_chemical_formula_sum 'La1 Zr2 Br1'
_cell_length_a 3.280
_cell_length_b 3.280
_cell_length_c 9.342
_cell_angle_alpha 90.00
_cell_angle_beta 90.00
_cell_angle_gamma 90.00
_symmetry_space_group_name_H-M 'P 4/m m m'
_symmetry_Int_Tables_number 123
_symmetry_space_group_name_Hall '-P 4 2'
loop_
_atom_site_label
_atom_site_type_symbol
_atom_site_fract_x
_atom_site_fract_y
_atom_site_fract_z
La1 La 0.000 0.000 0.000
Zr1 Zr 0.500 0.500 0.289
Br1 Br 0.000 0.000 0.500
```

Calculated values
As for the total energy: -5.88 eV per atom. The value obtained for the calculated volume is 100 Å³ per cell. The calculation puts the magnetization at 0.00 Bohr magnetons per cell. The crystal system is tetragonal. As for the formation energy from raw total energies: 0.05 eV/atom.



[12]
Material: La2CrCoBr
Method: DFT, PBE-GGA
State: optimized geometry

Geometry as CIF:
```
data_La2CrCoBr
_chemical_formula_sum 'La2 Cr1 Co1 Br1'
_cell_length_a 5.639
_cell_length_b 5.639
_cell_length_c 4.297
_cell_angle_alpha 90.00
_cell_angle_beta 90.00
_cell_angle_gamma 90.00
_symmetry_space_group_name_H-M 'P 4/m m m'
_symmetry_Int_Tables_number 123
_symmetry_space_group_name_Hall '-P 4 2'
loop_
_atom_site_label
_atom_site_type_symbol
_atom_site_fract_x
_atom_site_fract_y
_atom_site_fract_z
La1 La 0.000 0.500 0.000
Cr1 Cr 0.000 0.000 0.500
Co1 Co 0.000 0.000 0.000
Br1 Br 0.500 0.500 0.500
```

Calculated values
As for the total energy: -5.81 eV per atom. The value obtained for the calculated volume is 137 Å³ per cell. The calculation puts the magnetization at 2.65 Bohr magnetons per cell. The crystal system is tetragonal. As for the formation energy from raw total energies: -0.15 eV/atom.



> What is the magnetization in the third record?

0.00 Bohr magnetons per cell